Record 1
# Te2PdI | Alexandria via LeMat-Bulk | PBE | optimized geometry
# Crystal system ... tetragonal
# Volume ... 103.0 Å³/cell
# Total DFT energy (no corrections) ... -2.806 eV/atom
data_Te2PdI
_chemical_formula_sum 'Te2 Pd1 I1'
_symmetry_space_group_name_H-M 'P 1'
_symmetry_Int_Tables_number 1
_symmetry_space_group_name_Hall 'P 1'
_cell_length_a 5.534
_cell_length_b 5.534
_cell_length_c 3.363
_cell_angle_alpha 90.00
_cell_angle_beta 90.00
_cell_angle_gamma 90.00
loop_
_atom_site_label
_atom_site_type_symbol
_atom_site_fract_x
_atom_site_fract_y
_atom_site_fract_z
Te1 Te 0.000 0.500 0.000
Te2 Te 0.500 0.000 0.000
Pd1 Pd 0.000 0.000 0.500
I1 I 0.500 0.500 0.500

***

Record 2
# USbPd | Alexandria via LeMat-Bulk | PBE | optimized geometry
# Crystal system ... orthorhombic
# Volume ... 123.2 Å³/cell
# Total DFT energy (no corrections) ... -7.284 eV/atom
data_USbPd
_chemical_formula_sum 'U2 Sb2 Pd2'
_symmetry_space_group_name_H-M 'P 1'
_symmetry_Int_Tables_number 1
_symmetry_space_group_name_Hall 'P 1'
_cell_length_a 6.828
_cell_length_b 6.828
_cell_length_c 4.433
_cell_angle_alpha 90.00
_cell_angle_beta 90.00
_cell_angle_gamma 143.40
loop_
_atom_site_label
_atom_site_type_symbol
_atom_site_fract_x
_atom_site_fract_y
_atom_site_fract_z
U1 U 0.053 0.947 0.750
U2 U 0.947 0.053 0.250
Sb1 Sb 0.378 0.622 0.750
Sb2 Sb 0.622 0.378 0.250
Pd1 Pd 0.260 0.740 0.250
Pd2 Pd 0.740 0.260 0.750

***

Record 3
# HfZr2Sb2 | Alexandria via LeMat-Bulk | PBE | optimized geometry
# Crystal system ... orthorhombic
# Volume ... 227.4 Å³/cell
# Distance to the lowest polymorph of the same formula ... 4.18 kJ per mole of atoms
data_HfZr2Sb2
_chemical_formula_sum 'Hf2 Zr4 Sb4'
_symmetry_space_group_name_H-M 'P 1'
_symmetry_Int_Tables_number 1
_symmetry_space_group_name_Hall 'P 1'
_cell_length_a 8.290
_cell_length_b 8.290
_cell_length_c 5.903
_cell_angle_alpha 90.00
_cell_angle_beta 90.00
_cell_angle_gamma 145.91
loop_
_atom_site_label
_atom_site_type_symbol
_atom_site_fract_x
_atom_site_fract_y
_atom_site_fract_z
Hf1 Hf 0.127 0.873 0.500
Hf2 Hf 0.873 0.127 0.000
Zr1 Zr 0.332 0.668 0.318
Zr2 Zr 0.472 0.528 0.766
Zr3 Zr 0.528 0.472 0.266
Zr4 Zr 0.668 0.332 0.818
Sb1 Sb 0.062 0.938 0.975
Sb2 Sb 0.285 0.715 0.819
Sb3 Sb 0.715 0.285 0.319
Sb4 Sb 0.938 0.062 0.475

***

Record 4
# YTmSnTe | Alexandria via LeMat-Bulk | PBE | optimized geometry
# Crystal system ... trigonal
# Volume ... 118.5 Å³/cell
# Total DFT energy (no corrections) ... -5.542 eV/atom
data_YTmSnTe
_chemical_formula_sum 'Y1 Tm1 Sn1 Te1'
_symmetry_space_group_name_H-M 'P 1'
_symmetry_Int_Tables_number 1
_symmetry_space_group_name_Hall 'P 1'
_cell_length_a 7.607
_cell_length_b 7.607
_cell_length_c 7.607
_cell_angle_alpha 33.36
_cell_angle_beta 33.36
_cell_angle_gamma 33.36
loop_
_atom_site_label
_atom_site_type_symbol
_atom_site_fract_x
_atom_site_fract_y
_atom_site_fract_z
Y1 Y 0.000 0.000 0.000
Tm1 Tm 0.510 0.510 0.510
Sn1 Sn 0.253 0.253 0.253
Te1 Te 0.756 0.756 0.756

***

Record 5
# RbNb2AlBr | Alexandria via LeMat-Bulk | PBE | optimized geometry
# Crystal system ... tetragonal
# Volume ... 166.4 Å³/cell
# Total DFT energy (no corrections) ... -2.930 eV/atom
data_RbNb2AlBr
_chemical_formula_sum 'Rb1 Nb2 Al1 Br1'
_symmetry_space_group_name_H-M 'P 1'
_symmetry_Int_Tables_number 1
_symmetry_space_group_name_Hall 'P 1'
_cell_length_a 5.377
_cell_length_b 5.377
_cell_length_c 5.754
_cell_angle_alpha 90.00
_cell_angle_beta 90.00
_cell_angle_gamma 90.00
loop_
_atom_site_label
_atom_site_type_symbol
_atom_site_fract_x
_atom_site_fract_y
_atom_site_fract_z
Rb1 Rb 0.000 0.000 0.000
Nb1 Nb 0.000 0.500 0.000
Nb2 Nb 0.500 0.000 0.000
Al1 Al 0.500 0.500 0.500
Br1 Br 0.000 0.000 0.500

***

Record 6
# LaBeAs2 | Alexandria via LeMat-Bulk | PBE | optimized geometry
# Crystal system ... monoclinic
# Volume ... 91.2 Å³/cell
# ΔE_f ... -557 meV per atom
data_LaBeAs2
_chemical_formula_sum 'La1 Be1 As2'
_symmetry_space_group_name_H-M 'P 1'
_symmetry_Int_Tables_number 1
_symmetry_space_group_name_Hall 'P 1'
_cell_length_a 4.267
_cell_length_b 4.606
_cell_length_c 4.640
_cell_angle_alpha 90.00
_cell_angle_beta 90.04
_cell_angle_gamma 90.00
loop_
_atom_site_label
_atom_site_type_symbol
_atom_site_fract_x
_atom_site_fract_y
_atom_site_fract_z
La1 La 0.000 0.000 0.000
Be1 Be 0.486 0.500 0.555
As1 As 0.499 0.000 0.497
As2 As 0.500 0.500 0.044

***

Record 7
# Tm6Sb3As2Pb | Alexandria via LeMat-Bulk | PBE | optimized geometry
# Crystal system ... monoclinic
# Volume ... 326.9 Å³/cell
# Total DFT energy (no corrections) ... -5.405 eV/atom
data_Tm6Sb3As2Pb
_chemical_formula_sum 'Tm6 Sb3 As2 Pb1'
_symmetry_space_group_name_H-M 'P 1'
_symmetry_Int_Tables_number 1
_symmetry_space_group_name_Hall 'P 1'
_cell_length_a 9.465
_cell_length_b 9.465
_cell_length_c 8.576
_cell_angle_alpha 101.85
_cell_angle_beta 101.85
_cell_angle_gamma 25.80
loop_
_atom_site_label
_atom_site_type_symbol
_atom_site_fract_x
_atom_site_fract_y
_atom_site_fract_z
Tm1 Tm 0.009 0.009 0.261
Tm2 Tm 0.328 0.328 0.897
Tm3 Tm 0.329 0.329 0.424
Tm4 Tm 0.671 0.671 0.576
Tm5 Tm 0.672 0.672 0.103
Tm6 Tm 0.991 0.991 0.739
Sb1 Sb 0.162 0.162 0.835
Sb2 Sb 0.500 0.500 0.500
Sb3 Sb 0.838 0.838 0.165
As1 As 0.169 0.169 0.339
As2 As 0.831 0.831 0.661
Pb1 Pb 0.500 0.500 0.000

***

Record 8
# Co2PbSe | Alexandria via LeMat-Bulk | PBE | optimized geometry
# Crystal system ... cubic
# Volume ... 72.0 Å³/cell
# Distance to the lowest polymorph of the same formula ... 69.75 kJ per mole of atoms
data_Co2PbSe
_chemical_formula_sum 'Co2 Pb1 Se1'
_symmetry_space_group_name_H-M 'P 1'
_symmetry_Int_Tables_number 1
_symmetry_space_group_name_Hall 'P 1'
_cell_length_a 4.670
_cell_length_b 4.670
_cell_length_c 4.670
_cell_angle_alpha 60.00
_cell_angle_beta 60.00
_cell_angle_gamma 60.00
loop_
_atom_site_label
_atom_site_type_symbol
_atom_site_fract_x
_atom_site_fract_y
_atom_site_fract_z
Co1 Co 0.000 0.000 0.000
Co2 Co 0.250 0.250 0.250
Pb1 Pb 0.500 0.500 0.500
Se1 Se 0.750 0.750 0.750

***

Record 9
# ErPuTc | Alexandria via LeMat-Bulk | PBE | optimized geometry
# Crystal system ... triclinic
# Volume ... 148.7 Å³/cell
# ΔE_f ... 225 meV per atom
# Distance to the lowest polymorph of the same formula ... 21.49 kJ per mole of atoms
data_ErPuTc
_chemical_formula_sum 'Er2 Pu2 Tc2'
_symmetry_space_group_name_H-M 'P 1'
_symmetry_Int_Tables_number 1
_symmetry_space_group_name_Hall 'P 1'
_cell_length_a 4.467
_cell_length_b 5.405
_cell_length_c 6.678
_cell_angle_alpha 78.69
_cell_angle_beta 70.52
_cell_angle_gamma 89.99
loop_
_atom_site_label
_atom_site_type_symbol
_atom_site_fract_x
_atom_site_fract_y
_atom_site_fract_z
Er1 Er 0.000 0.000 0.000
Er2 Er 0.424 0.507 0.155
Pu1 Pu 0.175 0.508 0.649
Pu2 Pu 0.734 0.971 0.531
Tc1 Tc 0.332 0.989 0.337
Tc2 Tc 0.610 0.331 0.778

***

Record 10
# U2ReC | Alexandria via LeMat-Bulk | PBE | optimized geometry
# Crystal system ... trigonal
# Volume ... 67.3 Å³/cell
# ΔE_f ... 377 meV per atom
# Distance to the lowest polymorph of the same formula ... 37.13 kJ per mole of atoms
data_U2ReC
_chemical_formula_sum 'U2 Re1 C1'
_symmetry_space_group_name_H-M 'P 1'
_symmetry_Int_Tables_number 1
_symmetry_space_group_name_Hall 'P 1'
_cell_length_a 8.354
_cell_length_b 8.354
_cell_length_c 8.354
_cell_angle_alpha 21.28
_cell_angle_beta 21.28
_cell_angle_gamma 21.28
loop_
_atom_site_label
_atom_site_type_symbol
_atom_site_fract_x
_atom_site_fract_y
_atom_site_fract_z
U1 U 0.103 0.103 0.103
U2 U 0.897 0.897 0.897
Re1 Re 0.000 0.000 0.000
C1 C 0.500 0.500 0.500

***

Record 11
# ErCuNi3 | Alexandria via LeMat-Bulk | PBE | optimized geometry
# Crystal system ... orthorhombic
# Volume ... 161.8 Å³/cell
# ΔE_f ... 103 meV per atom
data_ErCuNi3
_chemical_formula_sum 'Er2 Cu2 Ni6'
_symmetry_space_group_name_H-M 'P 1'
_symmetry_Int_Tables_number 1
_symmetry_space_group_name_Hall 'P 1'
_cell_length_a 8.410
_cell_length_b 8.410
_cell_length_c 4.427
_cell_angle_alpha 90.00
_cell_angle_beta 90.00
_cell_angle_gamma 148.89
loop_
_atom_site_label
_atom_site_type_symbol
_atom_site_fract_x
_atom_site_fract_y
_atom_site_fract_z
Er1 Er 0.088 0.912 0.750
Er2 Er 0.912 0.088 0.250
Cu1 Cu 0.365 0.635 0.750
Cu2 Cu 0.635 0.365 0.250
Ni1 Ni 0.027 0.491 0.250
Ni2 Ni 0.491 0.027 0.750
Ni3 Ni 0.500 0.500 0.000
Ni4 Ni 0.500 0.500 0.500
Ni5 Ni 0.509 0.973 0.250
Ni6 Ni 0.973 0.509 0.750

***

Record 12
# MgPS2O | Alexandria via LeMat-Bulk | PBE | optimized geometry
# Crystal system ... tetragonal
# Volume ... 81.0 Å³/cell
# Distance to the lowest polymorph of the same formula ... 0.00 kJ per mole of atoms
data_MgPS2O
_chemical_formula_sum 'Mg1 P1 S2 O1'
_symmetry_space_group_name_H-M 'P 1'
_symmetry_Int_Tables_number 1
_symmetry_space_group_name_Hall 'P 1'
_cell_length_a 4.699
_cell_length_b 4.699
_cell_length_c 3.670
_cell_angle_alpha 90.00
_cell_angle_beta 90.00
_cell_angle_gamma 90.00
loop_
_atom_site_label
_atom_site_type_symbol
_atom_site_fract_x
_atom_site_fract_y
_atom_site_fract_z
Mg1 Mg 0.000 0.000 0.000
P1 P 0.500 0.500 0.000
S1 S 0.000 0.500 0.500
S2 S 0.500 0.000 0.500
O1 O 0.500 0.500 0.500